DFT (PBE) results for crystalline Sr4CaSm2Ta2O12 at its relaxed geometry.

Unit cell a=6.031 b=6.035 c=9.735 alpha=79.76 beta=80.51 gamma=86.62
Fractional positions:
O (0.558, 0.402, 0.268)
O (0.225, 0.686, 0.412)
O (0.133, 0.034, 0.835)
Ta (0.456, 0.446, 0.475)
Sm (0.935, 0.924, 0.480)
Sm (0.574, 0.555, 0.044)
O (0.867, 0.772, 0.066)
O (0.218, 0.213, 0.467)
Sr (0.009, 0.487, 0.266)
O (0.684, 0.212, 0.545)
O (0.785, 0.253, 0.972)
Ta (0.035, 0.060, 0.040)
Sr (0.486, 0.993, 0.269)
Ca (0.138, 0.661, 0.861)
O (0.336, 0.469, 0.673)
O (0.953, 0.076, 0.244)
O (0.320, 0.851, 0.063)
O (0.245, 0.333, 0.021)
Sr (0.972, 0.328, 0.676)
Sr (0.505, 0.133, 0.820)
O (0.690, 0.683, 0.432)

Summary:
For the total energy, the calculation gives -7.682 eV/atom. Its uncorrected formation energy is -2.8551 eV/atom. As for the energy above the most stable polymorph in this dataset: 0 meV/atom.



DFT (PBE) results for crystalline Sr4CaSm2Ta2O12 at its relaxed geometry.

Unit cell a=6.352 b=6.363 c=8.221 alpha=85.50 beta=85.49 gamma=84.51
Fractional positions:
Ca (0.671, 0.143, 0.332)
O (0.225, 0.695, 0.491)
O (0.832, 0.344, 0.502)
O (0.388, 0.250, 0.553)
O (0.008, 0.001, 0.230)
O (0.649, 0.806, 0.457)
Sr (0.396, 0.853, 0.175)
O (0.802, 0.262, 0.968)
O (0.543, 0.490, 0.267)
Ta (0.987, 0.000, 0.979)
O (0.268, 0.135, 0.940)
O (0.553, 0.570, 0.744)
O (0.739, 0.824, 0.021)
Sm (0.109, 0.076, 0.495)
O (0.973, 0.945, 0.743)
Sr (0.965, 0.542, 0.759)
Sm (0.447, 0.414, 0.002)
Sr (0.922, 0.613, 0.264)
Ta (0.500, 0.537, 0.514)
O (0.171, 0.686, 0.005)
Sr (0.570, 0.969, 0.747)

Summary:
For the total energy, the calculation gives -7.655 eV/atom. Its uncorrected formation energy is -2.8275 eV/atom. As for the energy above the most stable polymorph in this dataset: 28 meV/atom.